# Sb5Pt (PBE-GGA, optimized geometry)
data_Sb5Pt
_chemical_formula_sum 'Sb5 Pt1'
_cell_length_a 6.0107
_cell_length_b 6.0107
_cell_length_c 5.3573
_cell_angle_alpha 90.00
_cell_angle_beta 90.00
_cell_angle_gamma 127.94
_space_group_name_H-M_alt 'P 1'
_space_group_IT_number 1
_space_group_name_Hall 'P 1'
loop_
_atom_site_label
_atom_site_type_symbol
_atom_site_fract_x
_atom_site_fract_y
_atom_site_fract_z
Sb1 Sb 0.8599 0.1401 0.0000
Sb2 Sb 0.6398 0.3602 0.5000
Sb3 Sb 0.1401 0.8599 0.0000
Sb4 Sb 0.0000 0.0000 0.5000
Sb5 Sb 0.3602 0.6398 0.5000
Pt1 Pt 0.5000 0.5000 0.0000
# calculated volume	152.64	Å³/cell
# density of states at the Fermi level	3.10	states/eV/f.u.
# formation energy (no corrections)	184	meV/atom
# energy above the most stable polymorph in this dataset	0.2960	eV per atom

=====

# SrTaSi2 (PBE-GGA, optimized geometry)
data_SrTaSi2
_chemical_formula_sum 'Sr1 Ta1 Si2'
_cell_length_a 3.3107
_cell_length_b 3.3107
_cell_length_c 7.6258
_cell_angle_alpha 90.00
_cell_angle_beta 90.00
_cell_angle_gamma 90.00
_space_group_name_H-M_alt 'P 1'
_space_group_IT_number 1
_space_group_name_Hall 'P 1'
loop_
_atom_site_label
_atom_site_type_symbol
_atom_site_fract_x
_atom_site_fract_y
_atom_site_fract_z
Sr1 Sr 0.0000 0.0000 0.4715
Ta1 Ta 0.5000 0.5000 0.8410
Si1 Si 0.5000 0.5000 0.1756
Si2 Si 0.0000 0.0000 0.0119
# calculated volume	83.59	Å³/cell
# density of states at the Fermi level	2.88	states/eV/f.u.
# formation energy (no corrections)	157	meV/atom
# energy above the most stable polymorph in this dataset	0.3375	eV per atom

=====

# ZrNb2Tc (PBE-GGA, optimized geometry)
data_ZrNb2Tc
_chemical_formula_sum 'Zr1 Nb2 Tc1'
_cell_length_a 3.2778
_cell_length_b 4.5959
_cell_length_c 5.5842
_cell_angle_alpha 114.38
_cell_angle_beta 107.07
_cell_angle_gamma 90.00
_space_group_name_H-M_alt 'P 1'
_space_group_IT_number 1
_space_group_name_Hall 'P 1'
loop_
_atom_site_label
_atom_site_type_symbol
_atom_site_fract_x
_atom_site_fract_y
_atom_site_fract_z
Nb1 Nb 0.7646 0.7645 0.5292
Nb2 Nb 0.2354 0.2355 0.4708
Zr1 Zr 0.0000 0.5000 0.0000
Tc1 Tc 0.5000 0.0000 0.0000
# calculated volume	72.54	Å³/cell
# density of states at the Fermi level	3.18	states/eV/f.u.
# ΔH_f (0 K)	-0.219	eV per atom
# energy above the most stable polymorph in this dataset	0.0000	eV per atom

=====

# RbMg2Cd2 (PBE-GGA, optimized geometry)
data_RbMg2Cd2
_chemical_formula_sum 'Rb1 Mg2 Cd2'
_cell_length_a 4.9234
_cell_length_b 4.9234
_cell_length_c 7.3620
_cell_angle_alpha 70.47
_cell_angle_beta 70.47
_cell_angle_gamma 90.00
_space_group_name_H-M_alt 'P 1'
_space_group_IT_number 1
_space_group_name_Hall 'P 1'
loop_
_atom_site_label
_atom_site_type_symbol
_atom_site_fract_x
_atom_site_fract_y
_atom_site_fract_z
Mg1 Mg 0.7500 0.2500 0.5000
Mg2 Mg 0.2500 0.7500 0.5000
Cd1 Cd 0.6156 0.6156 0.7688
Cd2 Cd 0.3844 0.3844 0.2312
Rb1 Rb 0.0000 0.0000 0.0000
# calculated volume	157.24	Å³/cell
# density of states at the Fermi level	3.44	states/eV/f.u.
# ΔH_f (0 K)	0.008	eV per atom
# energy above the most stable polymorph in this dataset	0.0049	eV per atom

=====

# LiSnPb (PBE-GGA, optimized geometry)
data_LiSnPb
_chemical_formula_sum 'Li1 Sn1 Pb1'
_cell_length_a 4.0476
_cell_length_b 4.0476
_cell_length_c 5.5363
_cell_angle_alpha 111.44
_cell_angle_beta 111.44
_cell_angle_gamma 90.00
_space_group_name_H-M_alt 'P 1'
_space_group_IT_number 1
_space_group_name_Hall 'P 1'
loop_
_atom_site_label
_atom_site_type_symbol
_atom_site_fract_x
_atom_site_fract_y
_atom_site_fract_z
Li1 Li 0.2816 0.2816 0.5633
Pb1 Pb 0.9552 0.9552 0.9104
Sn1 Sn 0.6131 0.6131 0.2263
# calculated volume	77.64	Å³/cell
# density of states at the Fermi level	1.10	states/eV/f.u.
# ΔH_f (0 K)	-0.130	eV per atom
# energy above the most stable polymorph in this dataset	0.0208	eV per atom

=====

# AgMo3S (PBE-GGA, optimized geometry)
data_AgMo3S
_chemical_formula_sum 'Ag1 Mo3 S1'
_cell_length_a 4.4361
_cell_length_b 4.4361
_cell_length_c 4.4361
_cell_angle_alpha 90.00
_cell_angle_beta 90.00
_cell_angle_gamma 90.00
_space_group_name_H-M_alt 'P 1'
_space_group_IT_number 1
_space_group_name_Hall 'P 1'
loop_
_atom_site_label
_atom_site_type_symbol
_atom_site_fract_x
_atom_site_fract_y
_atom_site_fract_z
Mo1 Mo 0.5000 0.0000 0.0000
Mo2 Mo 0.0000 0.5000 0.0000
Mo3 Mo 0.0000 0.0000 0.5000
Ag1 Ag 0.5000 0.5000 0.5000
S1 S 0.0000 0.0000 0.0000
# calculated volume	87.30	Å³/cell
# density of states at the Fermi level	8.16	states/eV/f.u.
# formation energy (no corrections)	616	meV/atom
# energy above the most stable polymorph in this dataset	0.0000	eV per atom

=====

# Sr3LiDy3Te8 (PBE-GGA, optimized geometry)
data_Sr3LiDy3Te8
_chemical_formula_sum 'Sr3 Li1 Dy3 Te8'
_cell_length_a 8.9501
_cell_length_b 8.9497
_cell_length_c 9.1563
_cell_angle_alpha 119.25
_cell_angle_beta 90.00
_cell_angle_gamma 120.00
_space_group_name_H-M_alt 'P 1'
_space_group_IT_number 1
_space_group_name_Hall 'P 1'
loop_
_atom_site_label
_atom_site_type_symbol
_atom_site_fract_x
_atom_site_fract_y
_atom_site_fract_z
Te1 Te 0.7374 0.9817 0.7260
Te2 Te 0.2626 0.0183 0.2740
Te3 Te 0.7559 0.5117 0.2741
Te4 Te 0.2441 0.4883 0.7259
Te5 Te 0.7434 0.4868 0.7302
Te6 Te 0.2566 0.5132 0.2698
Te7 Te 0.2443 0.9817 0.7260
Te8 Te 0.7557 0.0183 0.2740
Sr1 Sr 0.0000 0.0000 0.0000
Sr2 Sr 0.5000 0.5000 0.0000
Sr3 Sr 0.0000 0.5000 0.0000
Dy1 Dy 0.0000 0.5000 0.5000
Dy2 Dy 0.5000 0.5000 0.5000
Dy3 Dy 0.5000 0.0000 0.5000
Li1 Li 0.0000 0.0000 0.5000
# calculated volume	524.37	Å³/cell
# formation energy (no corrections)	-1431	meV/atom

=====

# Tl3CrBi3Se8 (PBE-GGA, optimized geometry)
data_Tl3CrBi3Se8
_chemical_formula_sum 'Tl3 Cr1 Bi3 Se8'
_cell_length_a 8.3245
_cell_length_b 8.3251
_cell_length_c 9.0205
_cell_angle_alpha 117.48
_cell_angle_beta 90.00
_cell_angle_gamma 120.00
_space_group_name_H-M_alt 'P 1'
_space_group_IT_number 1
_space_group_name_Hall 'P 1'
loop_
_atom_site_label
_atom_site_type_symbol
_atom_site_fract_x
_atom_site_fract_y
_atom_site_fract_z
Se1 Se 0.2119 0.4237 0.6956
Se2 Se 0.7881 0.5763 0.3044
Se3 Se 0.7718 0.9834 0.6955
Se4 Se 0.7884 0.0166 0.3045
Se5 Se 0.7412 0.4825 0.7229
Se6 Se 0.2116 0.9834 0.6955
Se7 Se 0.2282 0.0166 0.3045
Se8 Se 0.2588 0.5175 0.2771
Cr1 Cr 0.0000 0.0000 0.5000
Tl1 Tl 0.0000 0.0000 0.0000
Tl2 Tl 0.0000 0.5000 0.0000
Tl3 Tl 0.5000 0.5000 0.0000
Bi1 Bi 0.5000 0.0000 0.5000
Bi2 Bi 0.5000 0.5000 0.5000
Bi3 Bi 0.0000 0.5000 0.5000
# calculated volume	458.19	Å³/cell
# density of states at the Fermi level	5.43	states/eV/f.u.
# formation energy (no corrections)	-411	meV/atom

=====

# CsAl3Se (PBE-GGA, optimized geometry)
data_CsAl3Se
_chemical_formula_sum 'Cs1 Al3 Se1'
_cell_length_a 5.5409
_cell_length_b 5.5409
_cell_length_c 5.5409
_cell_angle_alpha 90.00
_cell_angle_beta 90.00
_cell_angle_gamma 90.00
_space_group_name_H-M_alt 'P 1'
_space_group_IT_number 1
_space_group_name_Hall 'P 1'
loop_
_atom_site_label
_atom_site_type_symbol
_atom_site_fract_x
_atom_site_fract_y
_atom_site_fract_z
Al1 Al 0.0000 0.5000 0.0000
Al2 Al 0.0000 0.0000 0.5000
Al3 Al 0.5000 0.0000 0.0000
Cs1 Cs 0.5000 0.5000 0.5000
Se1 Se 0.0000 0.0000 0.0000
# calculated volume	170.12	Å³/cell
# density of states at the Fermi level	7.07	states/eV/f.u.
# formation energy (no corrections)	547	meV/atom
# energy above the most stable polymorph in this dataset	0.0000	eV per atom

=====

# KRhCI2 (PBE-GGA, optimized geometry)
data_KRhCI2
_chemical_formula_sum 'K1 Rh1 C1 I2'
_cell_length_a 5.8375
_cell_length_b 3.8786
_cell_length_c 5.8375
_cell_angle_alpha 90.00
_cell_angle_beta 90.00
_cell_angle_gamma 90.00
_space_group_name_H-M_alt 'P 1'
_space_group_IT_number 1
_space_group_name_Hall 'P 1'
loop_
_atom_site_label
_atom_site_type_symbol
_atom_site_fract_x
_atom_site_fract_y
_atom_site_fract_z
Rh1 Rh 0.0000 0.0000 0.0000
I1 I 0.0000 0.0000 0.5000
I2 I 0.5000 0.0000 0.0000
K1 K 0.5000 0.5000 0.5000
C1 C 0.0000 0.5000 0.0000
# calculated volume	132.17	Å³/cell
# density of states at the Fermi level	2.84	states/eV/f.u.
# formation energy (no corrections)	66	meV/atom

=====

# MnNi3As (PBE-GGA, optimized geometry)
data_MnNi3As
_chemical_formula_sum 'Mn1 Ni3 As1'
_cell_length_a 4.2704
_cell_length_b 4.2704
_cell_length_c 4.2704
_cell_angle_alpha 68.70
_cell_angle_beta 68.70
_cell_angle_gamma 68.70
_space_group_name_H-M_alt 'P 1'
_space_group_IT_number 1
_space_group_name_Hall 'P 1'
loop_
_atom_site_label
_atom_site_type_symbol
_atom_site_fract_x
_atom_site_fract_y
_atom_site_fract_z
As1 As 0.6960 0.6960 0.6960
Ni1 Ni 0.8317 0.3272 0.3272
Ni2 Ni 0.3272 0.8317 0.3272
Ni3 Ni 0.3272 0.3272 0.8317
Mn1 Mn 0.9429 0.9429 0.9429
# calculated volume	65.15	Å³/cell
# density of states at the Fermi level	2.70	states/eV/f.u.
# ΔH_f (0 K)	0.048	eV per atom
# energy above the most stable polymorph in this dataset	0.0000	eV per atom

=====

# ZrNbCN (PBE-GGA, optimized geometry)
data_ZrNbCN
_chemical_formula_sum 'Zr1 Nb1 C1 N1'
_cell_length_a 5.6143
_cell_length_b 5.6143
_cell_length_c 5.6143
_cell_angle_alpha 33.42
_cell_angle_beta 33.42
_cell_angle_gamma 33.42
_space_group_name_H-M_alt 'P 1'
_space_group_IT_number 1
_space_group_name_Hall 'P 1'
loop_
_atom_site_label
_atom_site_type_symbol
_atom_site_fract_x
_atom_site_fract_y
_atom_site_fract_z
C1 C 0.0031 0.0031 0.0031
Zr1 Zr 0.2520 0.2520 0.2520
Nb1 Nb 0.7472 0.7472 0.7472
N1 N 0.4978 0.4978 0.4978
# calculated volume	47.79	Å³/cell
# density of states at the Fermi level	1.75	states/eV/f.u.
# formation energy (no corrections)	-1018	meV/atom
# energy above the most stable polymorph in this dataset	0.0000	eV per atom